Sm2NiGe3Ir4 after structural relaxation. Source: Alexandria, functional PBE.

Cell: 4.1753 4.1753 10.3409 Å, 90.00 90.00 90.00°
With the nearest neighbours (Å) after each atom.
Space group P-4m2 (No. 115)
Unique sites:
Sm (0.0000, 0.5000, 0.2467) x2  8 Ir 3.18-3.35, 6 Ge 3.21-3.30, 2 Ni 3.30
Ni (0.5000, 0.5000, 0.0000) x1  4 Ir 2.49
Ge (0.0000, 0.0000, 0.0000) x1  4 Ir 2.49
Ge (0.0000, 0.5000, 0.6322) x2  5 Ir 2.44-2.50
Ir (0.0000, 0.0000, 0.5000) x1  4 Ge 2.50
Ir (0.0000, 0.5000, 0.8683) x2  3 Ge 2.44-2.49, 2 Ni 2.49
Ir (0.5000, 0.5000, 0.5000) x1  4 Ge 2.50

## Properties
E_form = -66.9 kJ/mol of atoms
uncorrected energy = -7.145 eV/atom
density = 12.4 g/cm3